Record 1
The following is a DFT calculation (PBE) of a relaxed SrCd2Os crystal.

a b c (Å): 5.6182 6.0945 2.9890
angles (deg): 78.89 83.45 115.65
Closest atoms and distances in Å follow each position.
Fractional coordinates of all 4 atoms:
1 Cd 0.0000 0.0000 0.0000  6 Cd 2.99-3.33, 2 Os 3.12, 2 Sr 3.12
2 Cd 0.5000 0.0000 0.5000  6 Cd 2.99-3.33, 2 Sr 3.12, 2 Os 3.12
3 Os 0.0000 0.5000 0.5000  2 Os 2.99, 4 Sr 3.03-3.33, 4 Cd 3.12
4 Sr 0.5000 0.5000 0.0000  2 Sr 2.99, 4 Os 3.03-3.33, 4 Cd 3.12

Values from the calculation:
Space-group type: C2/m
V: 22.06 Å³/atom
Energy: -12.139 eV for the cell shown

Record 2
The following is a DFT calculation (PBE) of a relaxed Sc2Sb crystal.

a b c (Å): 4.0759 7.9012 9.1046
angles (deg): 90.00 102.93 90.00
Closest atoms and distances in Å follow each position.
Fractional coordinates of all 12 atoms:
1 Sb 0.4511 0.1997 0.9022  9 Sc 2.92-3.13
2 Sb 0.2031 0.1917 0.4063  7 Sc 2.89-3.10
3 Sb 0.5489 0.6997 0.0978  9 Sc 2.92-3.13
4 Sb 0.7969 0.6917 0.5937  7 Sc 2.89-3.10
5 Sc 0.6753 0.9369 0.3506  4 Sb 2.90-2.92, 5 Sc 3.16-3.20
6 Sc 0.1685 0.6278 0.3371  4 Sb 3.00-3.10, 5 Sc 3.16-3.29
7 Sc 0.3247 0.4369 0.6494  4 Sb 2.90-2.92, 5 Sc 3.16-3.20
8 Sc 0.8315 0.1278 0.6629  4 Sb 3.00-3.10, 5 Sc 3.16-3.29
9 Sc 0.0393 0.9997 0.0787  5 Sb 3.02-3.28, 2 Sc 3.20
10 Sc 0.6058 0.3323 0.2116  4 Sb 2.89-3.07
11 Sc 0.3942 0.8323 0.7884  4 Sb 2.89-3.07
12 Sc 0.9607 0.4997 0.9213  5 Sb 3.02-3.28, 2 Sc 3.20

Values from the calculation:
Raw formation energy: -0.63 eV/atom
Space-group type: Cmc2_1
V: 23.81 Å³/atom
Energy: -74.683 eV for the cell shown

Record 3
The following is a DFT calculation (PBE) of a relaxed NdSm2DyEr5 crystal.

a b c (Å): 8.7275 8.7275 9.7974
angles (deg): 116.45 116.45 90.00
Closest atoms and distances in Å follow each position.
Fractional coordinates of all 18 atoms:
1 Er 0.1550 0.0725 0.7275  1 Sm 3.00, 1 Dy 3.10
2 Er 0.0000 0.0000 0.0000  4 Sm 3.50, 8 Er 3.75, 2 Nd 3.80
3 Er 0.3450 0.8450 0.2725  1 Sm 3.00, 1 Dy 3.10
4 Er 0.6550 0.1550 0.7275  1 Sm 3.00, 1 Dy 3.10
5 Er 0.5000 0.5000 0.0000  4 Sm 3.50, 8 Er 3.75, 2 Nd 3.80
6 Er 0.9275 0.4275 0.2725  1 Sm 3.00, 1 Dy 3.10
7 Er 0.0725 0.5725 0.7275  1 Sm 3.00, 1 Dy 3.10
8 Er 0.4275 0.3450 0.2725  1 Sm 3.00, 1 Dy 3.10
9 Er 0.8450 0.9275 0.2725  1 Sm 3.00, 1 Dy 3.10
10 Er 0.5725 0.6550 0.7275  1 Sm 3.00, 1 Dy 3.10
11 Nd 0.7500 0.7500 0.5000  10 Er 3.57-3.80
12 Nd 0.2500 0.2500 0.5000  10 Er 3.57-3.80
13 Sm 0.1158 0.3842 0.0000  1 Sm 2.86, 2 Er 3.00
14 Sm 0.8842 0.6158 0.0000  1 Sm 2.86, 2 Er 3.00
15 Sm 0.3842 0.8842 0.0000  1 Sm 2.86, 2 Er 3.00
16 Sm 0.6158 0.1158 0.0000  1 Sm 2.86, 2 Er 3.00
17 Dy 0.7500 0.2500 0.5000  4 Er 3.10
18 Dy 0.2500 0.7500 0.5000  4 Er 3.10

Values from the calculation:
Space-group type: I4/mcm
V: 32.20 Å³/atom
Energy: -78.388 eV for the cell shown

Record 4
The following is a DFT calculation (PBE) of a relaxed SrAcRe2O8 crystal.

a b c (Å): 6.0608 6.0608 7.5354
angles (deg): 90.00 90.00 120.00
Closest atoms and distances in Å follow each position.
Fractional coordinates of all 12 atoms:
1 Sr 0.0000 0.0000 0.0000  6 O 2.66
2 Re 0.3333 0.6667 0.8144  4 O 1.78-1.85
3 Re 0.6667 0.3333 0.1856  4 O 1.78-1.85
4 O 0.3333 0.6667 0.0509  1 Re 1.78
5 O 0.1669 0.8332 0.7343  1 Re 1.85
6 O 0.8332 0.6664 0.2657  1 Re 1.85
7 O 0.6667 0.3333 0.9491  1 Re 1.78
8 O 0.3336 0.1669 0.2657  1 Re 1.85
9 O 0.6664 0.8331 0.7343  1 Re 1.85
10 O 0.1668 0.3336 0.7343  1 Re 1.85
11 O 0.8331 0.1668 0.2657  1 Re 1.85
12 Ac 0.0000 0.0000 0.5000  6 O 2.49

Values from the calculation:
Raw formation energy: -2.05 eV/atom
Space-group type: P-3m1
V: 19.98 Å³/atom
Energy: -94.908 eV for the cell shown